The following is a DFT calculation (PBE-GGA) of an optimized crystal structure of Pu2Si3Pt4Rh.

Formation energy without anion corrections: -0.770 eV/atom
Crystal system: tetragonal
Symmetry: P-4m2
DOS at the Fermi energy: 21.49 states/eV/f.u.

abc: 3.9905 3.9905 11.1714
angles: 90.00 90.00 90.00
Atoms (fractional coordinates):
Pu (0.0000, 0.5000, 0.2419)
Pu (0.5000, 0.0000, 0.7581)
Si (0.0000, 0.0000, 0.0000)
Si (0.0000, 0.5000, 0.6289)
Si (0.5000, 0.0000, 0.3711)
Pt (0.0000, 0.0000, 0.5000)
Pt (0.0000, 0.5000, 0.8381)
Pt (0.5000, 0.0000, 0.1619)
Pt (0.5000, 0.5000, 0.5000)
Rh (0.5000, 0.5000, 0.0000)

The following is a DFT calculation (PBE-GGA) of an optimized crystal structure of InSb2Os.

Formation energy without anion corrections: 0.404 eV/atom
Crystal system: monoclinic
Symmetry: Pm
DOS at the Fermi energy: 2.61 states/eV/f.u.

abc: 3.3339 3.9855 7.2724
angles: 90.00 98.69 90.00
Atoms (fractional coordinates):
In (0.0000, 0.0000, 0.0000)
Sb (0.3984, 0.5000, 0.7470)
Sb (0.6329, 0.0000, 0.3884)
Os (0.5469, 0.5000, 0.1390)

The following is a DFT calculation (PBE-GGA) of an optimized crystal structure of NaIrPdO6.

Formation energy without anion corrections: -0.637 eV/atom
Crystal system: trigonal
Symmetry: P-31c
DOS at the Fermi energy: 4.78 states/eV/f.u.

abc: 5.2673 5.2673 10.2431
angles: 90.00 90.00 120.00
Atoms (fractional coordinates):
Na (0.0000, 0.0000, 0.0000)
Na (0.0000, 0.0000, 0.5000)
Ir (0.3333, 0.6667, 0.2500)
Ir (0.6667, 0.3333, 0.7500)
Pd (0.3333, 0.6667, 0.7500)
Pd (0.6667, 0.3333, 0.2500)
O (0.0118, 0.3809, 0.1459)
O (0.0118, 0.6309, 0.3541)
O (0.3691, 0.3809, 0.3541)
O (0.3691, 0.9882, 0.1459)
O (0.3809, 0.0118, 0.6459)
O (0.3809, 0.3691, 0.8541)
O (0.6191, 0.6309, 0.1459)
O (0.6191, 0.9882, 0.3541)
O (0.6309, 0.0118, 0.8541)
O (0.6309, 0.6191, 0.6459)
O (0.9882, 0.3691, 0.6459)
O (0.9882, 0.6191, 0.8541)

The following is a DFT calculation (PBE-GGA) of an optimized crystal structure of MgSbOs2.

Formation energy without anion corrections: 0.405 eV/atom
Crystal system: orthorhombic
Symmetry: Imm2
DOS at the Fermi energy: 2.94 states/eV/f.u.

abc: 5.9990 5.9990 5.9990
angles: 151.19 136.90 52.67
Atoms (fractional coordinates):
Mg (0.0000, 0.0000, 0.0000)
Sb (0.7187, 0.2187, 0.5000)
Os (0.3016, 0.8016, 0.5000)
Os (0.5022, 0.5022, 0.0000)

The following is a DFT calculation (PBE-GGA) of an optimized crystal structure of MgNiMo.

Crystal system: hexagonal
Offset from the most stable computed form: 68 kJ/mol of formula units
Symmetry: P6_3/mmc
DOS at the Fermi energy: 2.92 states/eV/f.u.

abc: 4.4634 4.4634 5.0763
angles: 90.00 90.00 120.00
Atoms (fractional coordinates):
Mg (0.3333, 0.6667, 0.2500)
Mg (0.6667, 0.3333, 0.7500)
Ni (0.3333, 0.6667, 0.7500)
Ni (0.6667, 0.3333, 0.2500)
Mo (0.0000, 0.0000, 0.0000)
Mo (0.0000, 0.0000, 0.5000)

The following is a DFT calculation (PBE-GGA) of an optimized crystal structure of InI2Br.

Formation energy without anion corrections: -0.510 eV/atom
Crystal system: monoclinic
Offset from the most stable computed form: 29 kJ/mol of formula units
Symmetry: C2

abc: 8.1855 8.1855 5.5096
angles: 91.31 91.31 29.76
Atoms (fractional coordinates):
In (0.0000, 0.0000, 0.0000)
I (0.3569, 0.3822, 0.9912)
I (0.6178, 0.6431, 0.0088)
Br (0.9234, 0.0766, 0.5000)

The following is a DFT calculation (PBE-GGA) of an optimized crystal structure of LiMg6Rh2.

Crystal system: tetragonal
Offset from the most stable computed form: 0 kJ/mol of formula units
Symmetry: P4_2/mnm
DOS at the Fermi energy: 5.28 states/eV/f.u.

abc: 8.4777 8.4777 4.3625
angles: 90.00 90.00 90.00
Atoms (fractional coordinates):
Li (0.0000, 0.0000, 0.0000)
Li (0.5000, 0.5000, 0.5000)
Mg (0.0293, 0.3162, 0.0000)
Mg (0.1313, 0.8687, 0.5000)
Mg (0.1838, 0.5293, 0.5000)
Mg (0.3162, 0.0293, 0.0000)
Mg (0.3687, 0.3687, 0.0000)
Mg (0.4707, 0.8162, 0.5000)
Mg (0.5293, 0.1838, 0.5000)
Mg (0.6313, 0.6313, 0.0000)
Mg (0.6838, 0.9707, 0.0000)
Mg (0.8162, 0.4707, 0.5000)
Mg (0.8687, 0.1313, 0.5000)
Mg (0.9707, 0.6838, 0.0000)
Rh (0.2020, 0.2020, 0.5000)
Rh (0.2980, 0.7020, 0.0000)
Rh (0.7020, 0.2980, 0.0000)
Rh (0.7980, 0.7980, 0.5000)

The following is a DFT calculation (PBE-GGA) of an optimized crystal structure of ErTh4In15.

Crystal system: tetragonal
Symmetry: P4/mmm
E: -4.12 eV per atom
DOS at the Fermi energy: 13.21 states/eV/f.u.

abc: 4.7213 4.7213 23.5632
angles: 90.00 90.00 90.00
Atoms (fractional coordinates):
Er (0.0000, 0.0000, 0.0000)
Th (0.0000, 0.0000, 0.1965)
Th (0.0000, 0.0000, 0.3992)
Th (0.0000, 0.0000, 0.6008)
Th (0.0000, 0.0000, 0.8035)
In (0.0000, 0.5000, 0.0954)
In (0.0000, 0.5000, 0.2978)
In (0.0000, 0.5000, 0.5000)
In (0.0000, 0.5000, 0.7022)
In (0.0000, 0.5000, 0.9046)
In (0.5000, 0.0000, 0.0954)
In (0.5000, 0.0000, 0.2978)
In (0.5000, 0.0000, 0.5000)
In (0.5000, 0.0000, 0.7022)
In (0.5000, 0.0000, 0.9046)
In (0.5000, 0.5000, 0.0000)
In (0.5000, 0.5000, 0.1970)
In (0.5000, 0.5000, 0.3989)
In (0.5000, 0.5000, 0.6011)
In (0.5000, 0.5000, 0.8030)

Record order is preserved below.
Size of the total moment: 1.039, 0.000, 0.229, 0.000, 0.000, 0.000, 0.000, 0.000 μB per atom